Here is a geometry-optimized Nd2Dy5Tm6 structure from the Alexandria database. Energies are from GGA-PBE.

CIF file:
```
data_Nd2Dy5Tm6
_cell_length_a 11.615
_cell_length_b 20.111
_cell_length_c 3.553
_cell_angle_alpha 90.00
_cell_angle_beta 90.00
_cell_angle_gamma 90.00
_space_group_name_H-M_alt 'P b a m'
_space_group_IT_number 55
_space_group_name_Hall '-P 2 2ab'
loop_
_atom_site_label
_atom_site_type_symbol
_atom_site_fract_x
_atom_site_fract_y
_atom_site_fract_z
Nd1 Nd 0.167 0.216 0.000
Dy1 Dy 0.000 0.500 0.500
Dy2 Dy 0.093 0.778 0.500
Dy3 Dy 0.200 0.051 0.500
Tm1 Tm 0.060 0.922 0.000
Tm2 Tm 0.078 0.634 0.000
Tm3 Tm 0.179 0.373 0.500
```

Output
* VASP energy: -4.4653 eV per atom
* magnetization: 0.00 Bohr magnetons per cell


Here is a geometry-optimized IrBrCl2 structure from the Alexandria database. Energies are from GGA-PBE.

CIF file:
```
data_IrBrCl2
_cell_length_a 3.533
_cell_length_b 7.252
_cell_length_c 9.042
_cell_angle_alpha 90.00
_cell_angle_beta 90.00
_cell_angle_gamma 90.00
_space_group_name_H-M_alt 'C m m 2'
_space_group_IT_number 35
_space_group_name_Hall 'C 2 -2'
loop_
_atom_site_label
_atom_site_type_symbol
_atom_site_fract_x
_atom_site_fract_y
_atom_site_fract_z
Ir1 Ir 0.000 0.000 0.000
Br1 Br 0.000 0.500 0.183
Cl1 Cl 0.000 0.000 0.490
Cl2 Cl 0.000 0.500 0.831
```

Output
* ΔE_f (raw): 0.330 eV per atom
* magnetization: 4.01 Bohr magnetons per cell
* energy above the most stable polymorph in this dataset: 736 meV/atom


Here is a geometry-optimized Ba2Rh3Pb4 structure from the Alexandria database. Energies are from GGA-PBE.

CIF file:
```
data_Ba2Rh3Pb4
_cell_length_a 6.142
_cell_length_b 10.841
_cell_length_c 14.502
_cell_angle_alpha 90.00
_cell_angle_beta 90.00
_cell_angle_gamma 90.00
_space_group_name_H-M_alt 'F m m m'
_space_group_IT_number 69
_space_group_name_Hall '-F 2 2'
loop_
_atom_site_label
_atom_site_type_symbol
_atom_site_fract_x
_atom_site_fract_y
_atom_site_fract_z
Ba1 Ba 0.000 0.000 0.122
Rh1 Rh 0.000 0.000 0.500
Rh2 Rh 0.250 0.250 0.000
Pb1 Pb 0.000 0.168 0.353
```

Output
* VASP energy: -4.8452 eV per atom
* magnetization: 0.00 Bohr magnetons per cell


Here is a geometry-optimized Er2Ti2CdRh5 structure from the Alexandria database. Energies are from GGA-PBE.

CIF file:
```
data_Er2Ti2CdRh5
_cell_length_a 10.033
_cell_length_b 10.033
_cell_length_c 3.581
_cell_angle_alpha 90.00
_cell_angle_beta 90.00
_cell_angle_gamma 90.00
_space_group_name_H-M_alt 'P 4/m b m'
_space_group_IT_number 127
_space_group_name_Hall '-P 4 2ab'
loop_
_atom_site_label
_atom_site_type_symbol
_atom_site_fract_x
_atom_site_fract_y
_atom_site_fract_z
Er1 Er 0.180 0.320 0.000
Ti1 Ti 0.120 0.620 0.000
Cd1 Cd 0.000 0.000 0.000
Rh1 Rh 0.000 0.500 0.500
Rh2 Rh 0.066 0.788 0.500
```

Output
* VASP energy: -6.8449 eV per atom
* magnetization: 0.00 Bohr magnetons per cell


Here is a geometry-optimized MnBe2BiPb structure from the Alexandria database. Energies are from GGA-PBE.

CIF file:
```
data_MnBe2BiPb
_cell_length_a 4.745
_cell_length_b 4.745
_cell_length_c 5.385
_cell_angle_alpha 90.00
_cell_angle_beta 90.00
_cell_angle_gamma 90.00
_space_group_name_H-M_alt 'P 4/m m m'
_space_group_IT_number 123
_space_group_name_Hall '-P 4 2'
loop_
_atom_site_label
_atom_site_type_symbol
_atom_site_fract_x
_atom_site_fract_y
_atom_site_fract_z
Mn1 Mn 0.000 0.000 0.000
Be1 Be 0.000 0.500 0.500
Bi1 Bi 0.000 0.000 0.500
Pb1 Pb 0.500 0.500 0.000
```

Output
* VASP energy: -3.6462 eV per atom
* magnetization: 4.04 Bohr magnetons per cell


Here is a geometry-optimized Co2BC structure from the Alexandria database. Energies are from GGA-PBE.

CIF file:
```
data_Co2BC
_cell_length_a 4.990
_cell_length_b 4.990
_cell_length_c 4.990
_cell_angle_alpha 90.00
_cell_angle_beta 90.00
_cell_angle_gamma 90.00
_space_group_name_H-M_alt 'F m -3 m'
_space_group_IT_number 225
_space_group_name_Hall '-F 4 2 3'
loop_
_atom_site_label
_atom_site_type_symbol
_atom_site_fract_x
_atom_site_fract_y
_atom_site_fract_z
Co1 Co 0.250 0.250 0.250
B1 B 0.000 0.000 0.000
C1 C 0.000 0.000 0.500
```

Output
* magnetization: 4.32 Bohr magnetons per cell
* energy above the most stable polymorph in this dataset: 126 meV/atom